# 1
# BaHgMo

An optimized crystal structure of BaHgMo (PBE, the Alexandria database).

Cell lengths 5.4951, 5.4951, 5.4951 Å; angles 60.00, 60.00, 60.00 degrees
With the nearest neighbours (Å) after each atom.
Atoms (fractional coordinates):
Ba (0.7500, 0.7500, 0.7500)  4 Hg 3.37, 4 Mo 3.37
Mo (0.5000, 0.5000, 0.5000)  4 Ba 3.37
Hg (0.0000, 0.0000, 0.0000)  4 Ba 3.37

Computed properties:
- Crystal system: cubic
- Space-group type: F-43m
- Calculated volume: 39.1 Å³ per atom
- Formation enthalpy at 0 K: 1.356 eV/atom



# 2
# BaHgMo

An optimized crystal structure of BaHgMo (PBE, the Alexandria database).

Cell lengths 5.2903, 5.2903, 5.2903 Å; angles 60.00, 60.00, 60.00 degrees
With the nearest neighbours (Å) after each atom.
Atoms (fractional coordinates):
Hg (0.7500, 0.7500, 0.7500)  4 Ba 3.24, 4 Mo 3.24
Ba (0.5000, 0.5000, 0.5000)  4 Hg 3.24
Mo (0.0000, 0.0000, 0.0000)  4 Hg 3.24

Computed properties:
- Crystal system: cubic
- Space-group type: F-43m
- Calculated volume: 34.9 Å³ per atom
- Formation enthalpy at 0 K: 1.004 eV/atom



# 3
# BaHgMo

An optimized crystal structure of BaHgMo (PBE, the Alexandria database).

Cell lengths 4.7690, 4.7690, 4.8485 Å; angles 90.00, 90.00, 120.00 degrees
With the nearest neighbours (Å) after each atom.
Atoms (fractional coordinates):
Ba (0.0000, 0.0000, 0.0000)  6 Mo 3.67, 6 Hg 3.67
Hg (0.6667, 0.3333, 0.5000)  3 Mo 2.75
Mo (0.3333, 0.6667, 0.4999)  3 Hg 2.75

Computed properties:
- Crystal system: hexagonal
- Space-group type: P-6m2
- Calculated volume: 31.8 Å³ per atom
- Formation enthalpy at 0 K: 0.720 eV/atom



# 4
# BaHgMo

An optimized crystal structure of BaHgMo (PBE, the Alexandria database).

Cell lengths 3.2486, 3.2486, 8.2413 Å; angles 90.00, 90.00, 120.00 degrees
With the nearest neighbours (Å) after each atom.
Atoms (fractional coordinates):
Hg (0.6667, 0.3333, 0.3674)  3 Mo 2.96, 6 Hg 3.25
Mo (0.3333, 0.6667, 0.6451)  3 Hg 2.96, 6 Mo 3.25
Ba (0.0000, 0.0000, 0.9876)  6 Ba 3.25, 3 Mo 3.39

Computed properties:
- Crystal system: trigonal
- Space-group type: P3m1
- Calculated volume: 25.1 Å³ per atom
- Formation enthalpy at 0 K: 1.002 eV/atom



# 5
# BaHg4Mo

An optimized crystal structure of BaHg4Mo (PBE, the Alexandria database).

Cell lengths 6.0780, 6.0780, 6.0780 Å; angles 60.00, 60.00, 60.00 degrees
With the nearest neighbours (Å) after each atom.
Atoms (fractional coordinates):
Hg (0.3759, 0.8723, 0.3759)  6 Hg 3.02-3.06
Hg (0.3759, 0.3759, 0.3759)  6 Hg 3.02-3.06
Hg (0.3759, 0.3759, 0.8723)  6 Hg 3.02-3.06
Ba (0.0000, 0.0000, 0.0000)  12 Hg 3.57, 4 Mo 3.72
Mo (0.7500, 0.7500, 0.7500)  12 Hg 3.56, 4 Ba 3.72
Hg (0.8723, 0.3759, 0.3759)  6 Hg 3.02-3.06

Computed properties:
- Crystal system: cubic
- Space-group type: F-43m
- Calculated volume: 26.5 Å³ per atom
- Formation enthalpy at 0 K: 0.357 eV/atom



# 6
# BaHgMo

An optimized crystal structure of BaHgMo (PBE, the Alexandria database).

Cell lengths 7.6813, 7.6817, 3.2113 Å; angles 77.93, 77.94, 24.13 degrees
With the nearest neighbours (Å) after each atom.
Atoms (fractional coordinates):
Hg (0.3118, 0.3118, 0.6882)  4 Mo 2.93, 4 Hg 3.21
Ba (0.0024, 0.0024, 0.9976)  4 Ba 3.21, 4 Mo 3.52
Mo (0.6859, 0.6859, 0.3141)  4 Hg 2.93, 4 Mo 3.21

Computed properties:
- Crystal system: tetragonal
- Space-group type: I4mm
- Calculated volume: 25.2 Å³ per atom
- Formation enthalpy at 0 K: 0.811 eV/atom



# 7
# Ba2HgMo2

An optimized crystal structure of Ba2HgMo2 (PBE, the Alexandria database).

Cell lengths 6.3487, 6.3487, 4.6619 Å; angles 90.00, 90.00, 90.00 degrees
With the nearest neighbours (Å) after each atom.
Atoms (fractional coordinates):
Mo (0.0000, 0.0000, 0.5000)  2 Mo 2.33
Ba (0.0000, 0.5000, 0.0000)  2 Mo 3.17
Hg (0.5000, 0.5000, 0.5000)  8 Ba 3.94
Ba (0.5000, 0.0000, 0.0000)  2 Mo 3.17
Mo (0.0000, 0.0000, 0.0000)  2 Mo 2.33

Computed properties:
- Crystal system: tetragonal
- Space-group type: P4/mmm
- Calculated volume: 37.6 Å³ per atom
- Formation enthalpy at 0 K: 0.845 eV/atom



# 8
# BaNi2HgMo

An optimized crystal structure of BaNi2HgMo (PBE, the Alexandria database).

Cell lengths 4.7301, 5.3981, 4.7301 Å; angles 90.00, 90.00, 90.00 degrees
With the nearest neighbours (Å) after each atom.
Atoms (fractional coordinates):
Mo (0.0000, 0.0000, 0.0000)  4 Ni 2.37
Ba (0.5000, 0.5000, 0.5000)  4 Hg 3.34, 8 Ni 3.59
Ni (0.5000, 0.0000, 0.0000)  2 Mo 2.37
Ni (0.0000, 0.0000, 0.5000)  2 Mo 2.37
Hg (0.0000, 0.5000, 0.0000)  2 Mo 2.70

Computed properties:
- Crystal system: tetragonal
- Space-group type: P4/mmm
- Calculated volume: 24.2 Å³ per atom
- Formation enthalpy at 0 K: 0.541 eV/atom